A relaxed PrGa2Bi crystal, computed with PBE.

abc: 4.738 4.738 4.457
angles: 90.00 90.00 90.00
Space group P4/mmm (No. 123)
Asymmetric unit:
Pr 0.000 0.000 0.000 [1 per cell]
Ga 0.000 0.500 0.500 [2 per cell]
Bi 0.500 0.500 0.000 [1 per cell]

Computed properties:
Density, g/cm³: 8.12
Calculated volume, Å³/cell: 100.1
Offset from the most stable computed form, kJ/mol of atoms: 0.0
Total DFT energy (no corrections), eV per cell: -16.59



A relaxed NdB2Pt6 crystal, computed with PBE.

abc: 10.750 10.750 10.750
angles: 90.00 90.00 90.00
Space group Fd-3m (No. 227, origin choice 2)
Asymmetric unit:
Nd 0.125 0.125 0.125 [8 per cell]
B 0.000 0.000 0.500 [16 per cell]
Pt 0.090 0.375 0.875 [48 per cell]

Computed properties:
Density, g/cm³: 14.29
Calculated volume, Å³/cell: 1242.3
Offset from the most stable computed form, kJ/mol of atoms: 15.7
Total DFT energy (no corrections), eV per cell: -473.08



A relaxed Cr2IrAu crystal, computed with PBE.

abc: 2.903 4.538 8.731
angles: 90.00 90.00 90.00
Space group Cmm2 (No. 35)
Asymmetric unit:
Cr 0.000 0.000 0.000 [2 per cell]
Cr 0.000 0.500 0.195 [2 per cell]
Ir 0.000 0.500 0.760 [2 per cell]
Au 0.000 0.000 0.467 [2 per cell]

Computed properties:
Density, g/cm³: 14.24
Calculated volume, Å³/cell: 115.0
Offset from the most stable computed form, kJ/mol of atoms: 15.1
Total DFT energy (no corrections), eV per cell: -60.62



A relaxed Si2PAu crystal, computed with PBE.

abc: 3.652 3.652 5.038
angles: 90.00 90.00 90.00
Space group P4/mmm (No. 123)
Asymmetric unit:
Si 0.000 0.500 0.000 [2 per cell]
P 0.000 0.000 0.500 [1 per cell]
Au 0.500 0.500 0.500 [1 per cell]

Computed properties:
Density, g/cm³: 7.02
Calculated volume, Å³/cell: 67.2
Formation energy from raw total energies, meV/atom: 529
Total DFT energy (no corrections), eV per cell: -17.42